Here is a relaxed Cu2SiPt crystal from Alexandria via LeMat-Bulk. Energies are from PBE-GGA.

Cell lengths 3.867, 2.794, 5.106 Å; angles 74.40, 90.00, 90.00 degrees
Fractional coordinates of all 4 atoms:
1 Cu 0.000 0.803 0.019
2 Cu 0.500 0.208 0.208
3 Pt 0.000 0.539 0.543
4 Si 0.500 0.949 0.729

calculated total energy	-5.136	eV per atom
magnetization	0.000	μB/cell
uncorrected formation energy	-86	kJ/mol of formula units
Fermi-level density of states	2.0	states/eV per cell

Here is a relaxed Ca2PaNiN4 crystal from Alexandria via LeMat-Bulk. Energies are from PBE-GGA.

Cell lengths 3.402, 5.781, 11.515 Å; angles 90.00, 90.00, 107.11 degrees
Fractional coordinates of all 16 atoms:
1 Ca 0.368 0.737 0.549
2 Ca 0.632 0.263 0.049
3 Ca 0.632 0.263 0.451
4 Ca 0.368 0.737 0.951
5 Pa 0.097 0.195 0.750
6 Pa 0.903 0.805 0.250
7 Ni 0.835 0.670 0.750
8 Ni 0.165 0.330 0.250
9 N 0.294 0.587 0.147
10 N 0.706 0.413 0.647
11 N 0.706 0.413 0.853
12 N 0.294 0.587 0.353
13 N 0.000 0.000 0.500
14 N 0.000 0.000 0.000
15 N 0.445 0.891 0.750
16 N 0.555 0.109 0.250

calculated total energy	-7.293	eV per atom
magnetization	0.000	μB/cell
uncorrected formation energy	-556	kJ/mol of formula units
Fermi-level density of states	9.0	states/eV per cell

Here is a relaxed Li3AlCu crystal from Alexandria via LeMat-Bulk. Energies are from PBE-GGA.

Cell lengths 3.254, 5.245, 9.174 Å; angles 90.20, 90.00, 108.07 degrees
Fractional coordinates of all 10 atoms:
1 Li 0.261 0.522 0.764
2 Li 0.739 0.478 0.236
3 Li 0.366 0.732 0.040
4 Li 0.634 0.268 0.960
5 Li 0.153 0.305 0.444
6 Li 0.847 0.695 0.556
7 Al 0.550 0.099 0.658
8 Al 0.450 0.901 0.342
9 Cu 0.965 0.929 0.846
10 Cu 0.035 0.071 0.154

calculated total energy	-2.810	eV per atom
ΔH_f (0 K)	-0.094	eV per atom
magnetization	0.000	μB/cell
Fermi-level density of states	2.5	states/eV per cell